Entry from Alexandria: an optimized crystal structure of ReAsSe2N (PBE-GGA). Values from VASP.

```
&SYSTEM
  ibrav = 0, nat = 5, ntyp = 4
/
ATOMIC_SPECIES
Re 186.21 Re.upf
As 74.92 As.upf
Se 78.96 Se.upf
N 14.01 N.upf
CELL_PARAMETERS angstrom
5.046 0.000 0.000
0.000 5.046 0.000
0.000 0.000 3.731
ATOMIC_POSITIONS angstrom
Re 0.000 0.000 0.000
As 2.523 2.523 1.865
Se 0.000 2.523 0.000
Se 2.523 0.000 0.000
N 0.000 0.000 1.865
```

E_form (uncorrected): 0.46 eV/atom
N(E_F): 3.23 states/eV per cell
polymorph energy (0 for the lowest one): 0 meV/atom
DFT total energy: -6.0155 eV/atom
space-group type: P4/mmm, No. 123